# ScCSe2Br (PBE-GGA, optimized geometry)
# Distance to the lowest polymorph of the same formula   0 meV per atom
# E_form (uncorrected)   0.441 eV per atom
data_ScCSe2Br
_cell_length_a 4.4707
_cell_length_b 4.4707
_cell_length_c 4.6127
_cell_angle_alpha 90.00
_cell_angle_beta 90.00
_cell_angle_gamma 90.00
_symmetry_space_group_name_H-M 'P 4/m m m'
_symmetry_Int_Tables_number 123
_symmetry_space_group_name_Hall '-P 4 2'
loop_
_atom_site_label
_atom_site_type_symbol
_atom_site_fract_x
_atom_site_fract_y
_atom_site_fract_z
_atom_site_occupancy
Sc1 Sc 0.0000 0.0000 0.0000 1
C1 C 0.5000 0.5000 0.5000 1
Se1 Se 0.0000 0.5000 0.5000 1
Br1 Br 0.5000 0.5000 0.0000 1